CaLaPt2 | PBE | relaxed

a b c (Å): 7.787 7.787 6.390
angles (deg): 90.00 90.00 90.00
Positions (direct):
Ca  0.000  0.000  0.000
Ca  0.000  0.500  0.250
Ca  0.500  0.000  0.750
Ca  0.500  0.500  0.500
La  0.000  0.000  0.500
La  0.000  0.500  0.750
La  0.500  0.000  0.250
La  0.500  0.500  0.000
Pt  0.248  0.250  0.625
Pt  0.250  0.748  0.875
Pt  0.250  0.752  0.375
Pt  0.252  0.250  0.125
Pt  0.748  0.750  0.125
Pt  0.750  0.248  0.375
Pt  0.750  0.252  0.875
Pt  0.752  0.750  0.625

Results
Total DFT energy (no corrections) in eV per atom: -5.43
Total moment in Bohr magnetons per cell: 0.2
Formation enthalpy at 0 K in eV per atom: -0.675